1.
A relaxed Tb6Ho12In crystal, computed with PBE-GGA.

## Properties
The calculation puts the total magnetization at 0.0000 μB/atom. The calculation puts the energy relative to the elements at 0.073 eV/atom. For the volume, the calculation gives 31.4 Å³/atom. Its space group is No. 148.

a b c (Å): 8.4212 8.4212 8.4212
angles (deg): 88.77 88.77 88.77
Closest atoms and distances in Å follow each position.
Fractional coordinates of all 19 atoms:
Tb1 0.7417 0.9057 0.2990  7 Ho 3.27-3.63, 1 In 3.38, 2 Tb 3.42
Tb2 0.7010 0.2583 0.0943  7 Ho 3.27-3.63, 1 In 3.38, 2 Tb 3.42
Tb3 0.0943 0.7010 0.2583  7 Ho 3.27-3.63, 1 In 3.38, 2 Tb 3.42
Tb4 0.2583 0.0943 0.7010  7 Ho 3.27-3.63, 1 In 3.38, 2 Tb 3.42
Tb5 0.2990 0.7417 0.9057  7 Ho 3.27-3.63, 1 In 3.38, 2 Tb 3.42
Tb6 0.9057 0.2990 0.7417  7 Ho 3.27-3.63, 1 In 3.38, 2 Tb 3.42
Ho1 0.7788 0.5397 0.4344  6 Ho 3.26-3.60, 3 Tb 3.27-3.43
Ho2 0.4344 0.7788 0.5397  6 Ho 3.26-3.60, 3 Tb 3.27-3.43
Ho3 0.5397 0.4344 0.7788  6 Ho 3.26-3.60, 3 Tb 3.27-3.43
Ho4 0.2212 0.4603 0.5656  6 Ho 3.26-3.60, 3 Tb 3.27-3.43
Ho5 0.5656 0.2212 0.4603  6 Ho 3.26-3.60, 3 Tb 3.27-3.43
Ho6 0.4603 0.5656 0.2212  6 Ho 3.26-3.60, 3 Tb 3.27-3.43
Ho7 0.0123 0.1870 0.3606  4 Tb 3.38-3.63, 4 Ho 3.44-3.59, 1 In 3.45
Ho8 0.8130 0.6394 0.9877  4 Tb 3.38-3.63, 4 Ho 3.44-3.59, 1 In 3.45
Ho9 0.6394 0.9877 0.8130  4 Tb 3.38-3.63, 4 Ho 3.44-3.59, 1 In 3.45
Ho10 0.9877 0.8130 0.6394  4 Tb 3.38-3.63, 4 Ho 3.44-3.59, 1 In 3.45
Ho11 0.1870 0.3606 0.0123  4 Tb 3.38-3.63, 4 Ho 3.44-3.59, 1 In 3.45
Ho12 0.3606 0.0123 0.1870  4 Tb 3.38-3.63, 4 Ho 3.44-3.59, 1 In 3.45
In1 0.0000 0.0000 0.0000  6 Tb 3.38, 6 Ho 3.45

---

2.
A relaxed CaDy2Y crystal, computed with PBE-GGA.

## Properties
The calculation puts the total magnetization at 0.0002 μB/atom. The calculation puts the energy relative to the elements at 0.134 eV/atom. For the volume, the calculation gives 33.3 Å³/atom. Its space group is No. 123.

a b c (Å): 5.1139 5.1047 5.1047
angles (deg): 90.00 90.00 90.00
Closest atoms and distances in Å follow each position.
Fractional coordinates of all 4 atoms:
Y1 0.5000 0.5000 0.5000  4 Ca 3.61, 8 Dy 3.61
Ca1 0.5000 0.0000 0.0000  4 Y 3.61, 8 Dy 3.61
Dy1 0.0000 0.0000 0.5000  4 Dy 3.61, 4 Y 3.61, 4 Ca 3.61
Dy2 0.0000 0.5000 0.0000  4 Dy 3.61, 4 Ca 3.61, 4 Y 3.61